A relaxed InAsCl2 crystal, computed with GGA-PBEsol.

Its energy above the most stable polymorph in this dataset is 0.169 eV per atom.

The space group is P4/mmm (No. 123) and the conventional cell measures 3.200, 3.200 and 8.274 Å, with angles of 90.00, 90.00 and 90.00 degrees. The distinct sites, in fractional coordinates, are In at (0.000, 0.000, 0.000), As at (0.000, 0.000, 0.500) and Cl at (0.500, 0.500, 0.250).

---

A relaxed BePb2 crystal, computed with GGA-PBEsol.

Its energy above the most stable polymorph in this dataset is 0.000 eV per atom. The formation energy comes out at 0.402 eV/atom.

The space group is Pnnm (No. 58) and the conventional cell measures 5.737, 6.267 and 3.926 Å, with angles of 90.00, 90.00 and 90.00 degrees. The distinct sites, in fractional coordinates, are Be at (0.000, 0.000, 0.000) and Pb at (0.236, 0.350, 0.000).

---

A relaxed SrLiW2 crystal, computed with GGA-PBEsol.

Its energy above the most stable polymorph in this dataset is 0.000 eV per atom. The formation energy comes out at 0.980 eV/atom.

The space group is P2/m (No. 10) and the conventional cell measures 2.838, 5.410 and 4.971 Å, with angles of 90.00, 97.23 and 90.00 degrees. The distinct sites, in fractional coordinates, are Sr at (0.000, 0.000, 0.000), Li at (0.500, 0.000, 0.500) and W at (0.360, 0.500, 0.742).

---

A relaxed BaCoGeRh2 crystal, computed with GGA-PBEsol.

The formation energy comes out at 0.943 eV/atom.

The space group is P4/mmm (No. 123) and the conventional cell measures 4.526, 4.526 and 5.710 Å, with angles of 90.00, 90.00 and 90.00 degrees. The distinct sites, in fractional coordinates, are Ba at (0.000, 0.000, 0.000), Co at (0.500, 0.500, 0.000), Ge at (0.000, 0.000, 0.500) and Rh at (0.000, 0.500, 0.500).

---

A relaxed BaHg3Te crystal, computed with GGA-PBEsol.

The total energy is -1.0872 eV/atom.

The space group is Pm-3m (No. 221) and the conventional cell measures 6.088, 6.088 and 6.088 Å, with angles of 90.00, 90.00 and 90.00 degrees. The distinct sites, in fractional coordinates, are Ba at (0.000, 0.000, 0.000), Hg at (0.000, 0.000, 0.500) and Te at (0.500, 0.500, 0.500).

---

A relaxed LiBeW2 crystal, computed with GGA-PBEsol.

The formation energy comes out at 0.591 eV/atom.

The space group is P4/mmm (No. 123) and the conventional cell measures 3.107, 3.107 and 5.197 Å, with angles of 90.00, 90.00 and 90.00 degrees. The distinct sites, in fractional coordinates, are Li at (0.000, 0.000, 0.000), Be at (0.000, 0.000, 0.500) and W at (0.500, 0.500, 0.267).